Record 1
First-principles (meta-GGA SCAN) data for a PBEsol-optimized structure of AlBi3Br, as listed in the Alexandria database.

Cell: 5.413 5.413 5.413 Å, 90.00 90.00 90.00°
Fractional coordinates of all 5 atoms:
1 Bi 0.000 0.500 0.000
2 Bi 0.500 0.000 0.000
3 Br 0.500 0.500 0.500
4 Bi 0.000 0.000 0.500
5 Al 0.000 0.000 0.000

Summary:
Energy above the most stable polymorph in this dataset (meV per atom): 0
Space group: No. 221
Formation energy without anion corrections (eV per atom): 0.3966
Volume (A^3/atom): 31.72


Record 2
First-principles (meta-GGA SCAN) data for a PBEsol-optimized structure of YSb, as listed in the Alexandria database.

Cell: 4.323 4.323 4.323 Å, 60.00 60.00 60.00°
Fractional coordinates of all 2 atoms:
1 Y 0.000 0.000 0.000
2 Sb 0.500 0.500 0.500

Summary:
Space group: No. 225
Formation energy without anion corrections (eV per atom): -1.2973
Volume (A^3/atom): 28.56


Record 3
First-principles (meta-GGA SCAN) data for a PBEsol-optimized structure of CoReBr2, as listed in the Alexandria database.

Cell: 2.960 3.152 8.203 Å, 90.00 90.00 118.00°
Each line ends with the local moment (μB).
Fractional coordinates of all 4 atoms:
1 Br 0.000 0.000 0.258  0.04
2 Co 0.500 0.000 0.500  1.87
3 Br 0.000 0.000 0.742  0.04
4 Re 0.500 0.000 0.000  0.87

Summary:
Energy above the most stable polymorph in this dataset (meV per atom): 711
Space group: No. 65
Formation energy without anion corrections (eV per atom): 1.1641
Volume (A^3/atom): 16.89


Record 4
First-principles (meta-GGA SCAN) data for a PBEsol-optimized structure of MnTc2Ag, as listed in the Alexandria database.

Cell: 3.049 3.049 6.089 Å, 90.00 90.00 90.00°
Each line ends with the local moment (μB).
Fractional coordinates of all 4 atoms:
1 Mn 0.500 0.500 0.500  2.31
2 Ag 0.500 0.500 0.000  -0.01
3 Tc 0.000 0.000 0.703  -0.26
4 Tc 0.000 0.000 0.297  -0.26

Summary:
Energy above the most stable polymorph in this dataset (meV per atom): 90
Space group: No. 123
Calculated formation energy (eV per formula unit): 1.5
Volume (A^3/atom): 14.15


Record 5
First-principles (meta-GGA SCAN) data for a PBEsol-optimized structure of AgSnTeI2, as listed in the Alexandria database.

Cell: 5.433 5.433 5.514 Å, 90.00 90.00 90.00°
Fractional coordinates of all 5 atoms:
1 Sn 0.500 0.500 0.500
2 Te 0.000 0.000 0.500
3 I 0.000 0.500 0.000
4 Ag 0.000 0.000 0.000
5 I 0.500 0.000 0.000

Summary:
Space group: No. 123
Formation energy without anion corrections (eV per atom): 0.2285
Volume (A^3/atom): 32.55


Record 6
First-principles (meta-GGA SCAN) data for a PBEsol-optimized structure of ZnTe2Pt, as listed in the Alexandria database.

Cell: 3.873 3.873 6.367 Å, 107.71 107.71 90.00°
Fractional coordinates of all 4 atoms:
1 Pt 0.250 0.750 0.500
2 Te 0.000 0.000 0.000
3 Zn 0.500 0.500 0.000
4 Te 0.750 0.250 0.500

Summary:
Space group: No. 119
Formation energy without anion corrections (eV per atom): 0.2014
Volume (A^3/atom): 21.56


Record 7
First-principles (meta-GGA SCAN) data for a PBEsol-optimized structure of CsGe2Te2, as listed in the Alexandria database.

Cell: 5.498 5.498 6.484 Å, 115.08 115.08 90.00°
Fractional coordinates of all 5 atoms:
1 Te 0.750 0.250 0.500
2 Te 0.250 0.750 0.500
3 Ge 0.645 0.645 0.291
4 Ge 0.355 0.355 0.709
5 Cs 0.000 0.000 0.000

Summary:
Space group: No. 139
Formation energy without anion corrections (eV per atom): -0.2808
Volume (A^3/atom): 31.38


Record 8
First-principles (meta-GGA SCAN) data for a PBEsol-optimized structure of BaGdCuTe3, as listed in the Alexandria database.

Cell: 4.383 7.654 11.312 Å, 90.00 90.00 106.64°
Each line ends with the local moment (μB).
Fractional coordinates of all 12 atoms:
1 Te 0.431 0.861 0.250  -0.03
2 Te 0.139 0.278 0.063  -0.04
3 Te 0.861 0.722 0.563  -0.04
4 Cu 0.967 0.934 0.750  -0.01
5 Gd 0.500 0.000 0.000  7.03
6 Cu 0.033 0.066 0.250  -0.01
7 Gd 0.500 0.000 0.500  7.03
8 Ba 0.249 0.498 0.750  -0.01
9 Te 0.569 0.139 0.750  -0.03
10 Te 0.139 0.278 0.437  -0.04
11 Te 0.861 0.722 0.937  -0.04
12 Ba 0.751 0.502 0.250  -0.01

Summary:
Space group: No. 63
Formation energy without anion corrections (eV per atom): -1.3650
Volume (A^3/atom): 30.30


Record 9
First-principles (meta-GGA SCAN) data for a PBEsol-optimized structure of FeCo3Rh, as listed in the Alexandria database.

Cell: 4.388 4.388 4.388 Å, 90.00 90.00 90.00°
Each line ends with the local moment (μB).
Fractional coordinates of all 5 atoms:
1 Rh 0.000 0.000 0.000  0.97
2 Co 0.500 0.000 0.000  2.18
3 Co 0.000 0.500 0.000  2.18
4 Co 0.000 0.000 0.500  2.18
5 Fe 0.500 0.500 0.500  3.54

Summary:
Space group: No. 221
Calculated formation energy (eV per formula unit): 7.3
Volume (A^3/atom): 16.90


Record 10
First-principles (meta-GGA SCAN) data for a PBEsol-optimized structure of La2Au, as listed in the Alexandria database.

Cell: 6.148 6.148 6.148 Å, 60.00 60.00 60.00°
Fractional coordinates of all 6 atoms:
1 La 0.125 0.125 0.625
2 Au 0.750 0.750 0.750
3 La 0.625 0.125 0.125
4 Au 0.500 0.500 0.500
5 La 0.125 0.125 0.125
6 La 0.125 0.625 0.125

Summary:
Space group: No. 227
Calculated formation energy (eV per formula unit): 0.5
Volume (A^3/atom): 27.39


Record 11
First-principles (meta-GGA SCAN) data for a PBEsol-optimized structure of YNiTe, as listed in the Alexandria database.

Cell: 3.867 3.867 5.079 Å, 112.38 112.38 90.00°
Fractional coordinates of all 3 atoms:
1 Y 0.663 0.663 0.326
2 Ni 0.017 0.017 0.034
3 Te 0.320 0.320 0.640

Summary:
Space group: No. 107
Formation energy without anion corrections (eV per atom): -0.4420
Volume (A^3/atom): 21.33


Record 12
First-principles (meta-GGA SCAN) data for a PBEsol-optimized structure of Mn2SiCl, as listed in the Alexandria database.

Cell: 4.220 4.220 4.220 Å, 60.00 60.00 60.00°
Each line ends with the local moment (μB).
Fractional coordinates of all 4 atoms:
1 Si 0.500 0.500 0.500  -0.30
2 Mn 0.250 0.250 0.250  3.28
3 Cl 0.000 0.000 0.000  -0.05
4 Mn 0.750 0.750 0.750  3.28

Summary:
Energy above the most stable polymorph in this dataset (meV per atom): 534
Space group: No. 225
Formation energy without anion corrections (eV per atom): 0.2028
Volume (A^3/atom): 13.29


Record 13
First-principles (meta-GGA SCAN) data for a PBEsol-optimized structure of PPdWCl2, as listed in the Alexandria database.

Cell: 4.594 4.594 4.782 Å, 90.00 90.00 90.00°
Fractional coordinates of all 5 atoms:
1 Cl 0.500 0.000 0.000
2 Pd 0.500 0.500 0.500
3 W 0.000 0.000 0.000
4 Cl 0.000 0.500 0.000
5 P 0.000 0.000 0.500

Summary:
Energy above the most stable polymorph in this dataset (meV per atom): 0
Space group: No. 123
Formation energy without anion corrections (eV per atom): 0.5038
Volume (A^3/atom): 20.19


Record 14
First-principles (meta-GGA SCAN) data for a PBEsol-optimized structure of CdAsOs, as listed in the Alexandria database.

Cell: 3.029 3.029 6.126 Å, 104.31 104.31 90.00°
Fractional coordinates of all 3 atoms:
1 Cd 0.683 0.683 0.366
2 As 0.965 0.965 0.931
3 Os 0.352 0.352 0.703

Summary:
Energy above the most stable polymorph in this dataset (meV per atom): 0
Space group: No. 107
Calculated formation energy (eV per formula unit): 0.5
Volume (A^3/atom): 17.55


Record 15
First-principles (meta-GGA SCAN) data for a PBEsol-optimized structure of CdCuPt2, as listed in the Alexandria database.

Cell: 2.848 4.699 4.699 Å, 106.56 90.00 90.00°
Fractional coordinates of all 4 atoms:
1 Cu 0.500 0.500 0.500
2 Pt 0.000 0.000 0.500
3 Cd 0.500 0.000 0.000
4 Pt 0.000 0.500 0.000

Summary:
Space group: No. 65
Calculated formation energy (eV per formula unit): -0.8
Volume (A^3/atom): 15.07


Record 16
First-principles (meta-GGA SCAN) data for a PBEsol-optimized structure of SiIrBr, as listed in the Alexandria database.

Cell: 4.266 4.266 4.266 Å, 60.00 60.00 60.00°
Fractional coordinates of all 3 atoms:
1 Ir 0.000 0.000 0.000
2 Br 0.250 0.250 0.250
3 Si 0.500 0.500 0.500

Summary:
Space group: No. 216
Formation energy without anion corrections (eV per atom): 1.6657
Volume (A^3/atom): 18.29


Record 17
First-principles (meta-GGA SCAN) data for a PBEsol-optimized structure of YCu2Ir, as listed in the Alexandria database.

Cell: 3.969 3.969 4.844 Å, 114.19 114.19 90.00°
Fractional coordinates of all 4 atoms:
1 Ir 0.500 0.500 0.000
2 Y 0.250 0.750 0.500
3 Cu 0.750 0.250 0.500
4 Cu 0.000 0.000 0.000

Summary:
Energy above the most stable polymorph in this dataset (meV per atom): 89
Space group: No. 119
Calculated formation energy (eV per formula unit): -0.9
Volume (A^3/atom): 15.55


Record 18
First-principles (meta-GGA SCAN) data for a PBEsol-optimized structure of RbTe2O, as listed in the Alexandria database.

Cell: 5.947 5.947 6.949 Å, 64.66 64.66 60.00°
Fractional coordinates of all 4 atoms:
1 Rb 0.500 0.500 0.500
2 O 0.000 0.000 0.000
3 Te 0.109 0.109 0.674
4 Te 0.891 0.891 0.326

Summary:
Space group: No. 166
Formation energy without anion corrections (eV per atom): -0.2351
Volume (A^3/atom): 46.27


Record 19
First-principles (meta-GGA SCAN) data for a PBEsol-optimized structure of LiZrCd2, as listed in the Alexandria database.

Cell: 2.983 4.987 5.334 Å, 90.00 89.97 90.00°
Fractional coordinates of all 4 atoms:
1 Cd 0.875 0.000 0.948
2 Cd 0.875 0.500 0.311
3 Zr 0.375 0.500 0.812
4 Li 0.375 0.000 0.429

Summary:
Energy above the most stable polymorph in this dataset (meV per atom): 54
Space group: No. 25
Calculated formation energy (eV per formula unit): -0.7
Volume (A^3/atom): 19.84


Record 20
First-principles (meta-GGA SCAN) data for a PBEsol-optimized structure of La2AlNi, as listed in the Alexandria database.

Cell: 4.327 4.327 5.724 Å, 112.21 112.21 90.00°
Fractional coordinates of all 4 atoms:
1 Al 0.250 0.750 0.500
2 La 0.000 0.000 0.000
3 Ni 0.500 0.500 0.000
4 La 0.750 0.250 0.500

Summary:
Space group: No. 119
Calculated formation energy (eV per formula unit): -0.4
Volume (A^3/atom): 22.65


Record 21
First-principles (meta-GGA SCAN) data for a PBEsol-optimized structure of Zr3TiCu2, as listed in the Alexandria database.

Cell: 3.120 3.120 10.904 Å, 90.00 90.00 90.00°
Fractional coordinates of all 6 atoms:
1 Zr 0.000 0.000 0.330
2 Cu 0.000 0.000 0.024
3 Zr 0.000 0.000 0.651
4 Zr 0.500 0.500 0.853
5 Cu 0.500 0.500 0.491
6 Ti 0.500 0.500 0.151

Summary:
Space group: No. 99
Calculated formation energy (eV per formula unit): -0.9
Volume (A^3/atom): 17.69


Record 22
First-principles (meta-GGA SCAN) data for a PBEsol-optimized structure of YTl2Pb, as listed in the Alexandria database.

Cell: 4.566 4.564 5.976 Å, 112.53 112.46 90.00°
Fractional coordinates of all 4 atoms:
1 Tl 0.999 0.999 0.999
2 Y 0.500 0.500 0.001
3 Pb 0.250 0.750 0.500
4 Tl 0.750 0.250 0.500

Summary:
Space group: No. 8
Calculated formation energy (eV per formula unit): -1.5
Volume (A^3/atom): 26.18


Record 23
First-principles (meta-GGA SCAN) data for a PBEsol-optimized structure of Ca2TlSn, as listed in the Alexandria database.

Cell: 5.376 5.376 5.376 Å, 60.00 60.00 60.00°
Fractional coordinates of all 4 atoms:
1 Sn 0.000 0.000 0.000
2 Ca 0.750 0.750 0.750
3 Tl 0.500 0.500 0.500
4 Ca 0.250 0.250 0.250

Summary:
Space group: No. 225
Calculated formation energy (eV per formula unit): -2.7
Volume (A^3/atom): 27.47


Record 24
First-principles (meta-GGA SCAN) data for a PBEsol-optimized structure of MnBe2Al, as listed in the Alexandria database.

Cell: 2.545 2.545 7.934 Å, 80.77 80.77 60.00°
Each line ends with the local moment (μB).
Fractional coordinates of all 4 atoms:
1 Be 0.244 0.244 0.269  -0.05
2 Al 0.000 0.000 0.000  -0.01
3 Be 0.756 0.756 0.731  -0.05
4 Mn 0.500 0.500 0.500  1.79

Summary:
Space group: No. 166
Calculated formation energy (eV per formula unit): 0.7
Volume (A^3/atom): 10.94


Record 25
First-principles (meta-GGA SCAN) data for a PBEsol-optimized structure of Ta2MoCl, as listed in the Alexandria database.

Cell: 2.847 2.847 7.912 Å, 90.00 90.00 90.00°
Fractional coordinates of all 4 atoms:
1 Cl 0.500 0.500 0.000
2 Mo 0.500 0.500 0.500
3 Ta 0.000 0.000 0.767
4 Ta 0.000 0.000 0.233

Summary:
Space group: No. 123
Formation energy without anion corrections (eV per atom): 0.3800
Volume (A^3/atom): 16.03


Record 26
First-principles (meta-GGA SCAN) data for a PBEsol-optimized structure of LaMg3Ir, as listed in the Alexandria database.

Cell: 4.961 4.961 4.961 Å, 90.00 90.00 90.00°
Fractional coordinates of all 5 atoms:
1 Mg 0.000 0.500 0.000
2 La 0.500 0.500 0.500
3 Ir 0.000 0.000 0.000
4 Mg 0.000 0.000 0.500
5 Mg 0.500 0.000 0.000

Summary:
Space group: No. 221
Calculated formation energy (eV per formula unit): -1.4
Volume (A^3/atom): 24.42


Record 27
First-principles (meta-GGA SCAN) data for a PBEsol-optimized structure of ZrTa2Al, as listed in the Alexandria database.

Cell: 2.858 4.796 5.347 Å, 90.00 97.89 90.00°
Fractional coordinates of all 4 atoms:
1 Ta 0.770 0.000 0.752
2 Zr 0.500 0.500 0.000
3 Ta 0.230 0.000 0.248
4 Al 0.000 0.500 0.500

Summary:
Space group: No. 10
Calculated formation energy (eV per formula unit): -0.1
Volume (A^3/atom): 18.15


Record 28
First-principles (meta-GGA SCAN) data for a PBEsol-optimized structure of Mg2TaCr, as listed in the Alexandria database.

Cell: 4.573 4.598 4.573 Å, 119.82 90.00 119.82°
Each line ends with the local moment (μB).
Fractional coordinates of all 4 atoms:
1 Cr 0.250 0.500 0.750  3.27
2 Ta 0.500 0.000 0.500  -0.50
3 Mg 0.000 0.000 0.000  0.01
4 Mg 0.750 0.500 0.250  -0.03

Summary:
Energy above the most stable polymorph in this dataset (meV per atom): 27
Space group: No. 119
Calculated formation energy (eV per formula unit): 1.6
Volume (A^3/atom): 17.09


Record 29
First-principles (meta-GGA SCAN) data for a PBEsol-optimized structure of BaAlZn, as listed in the Alexandria database.

Cell: 4.296 4.742 4.742 Å, 120.00 90.00 90.00°
Fractional coordinates of all 3 atoms:
1 Ba 0.000 0.333 0.667
2 Al 0.500 0.000 0.000
3 Zn 0.500 0.667 0.333

Summary:
Space group: No. 187
Calculated formation energy (eV per formula unit): -0.4
Volume (A^3/atom): 27.88


Record 30
First-principles (meta-GGA SCAN) data for a PBEsol-optimized structure of ZrTi2H, as listed in the Alexandria database.

Cell: 4.405 4.405 4.405 Å, 60.00 60.00 60.00°
Fractional coordinates of all 4 atoms:
1 Zr 0.500 0.500 0.500
2 Ti 0.750 0.750 0.750
3 H 0.000 0.000 0.000
4 Ti 0.250 0.250 0.250

Summary:
Electronic total energy (eV per cell): -62.440
Space group: No. 225
Volume (A^3/atom): 15.11